[1]
Entry from Alexandria via LeMat-Bulk: a geometry-optimized La2AlSi3Pd4 structure (PBE-GGA).

POSCAR file:
```
La2AlSi3Pd4
1.0
4.310 0.000 0.000
0.000 4.310 0.000
0.000 0.000 10.138
La Al Si Pd
2 1 3 4
Direct
0.000 0.500 0.250
0.500 0.000 0.750
0.000 0.000 0.500
0.000 0.500 0.874
0.500 0.000 0.126
0.500 0.500 0.500
0.000 0.000 0.000
0.000 0.500 0.631
0.500 0.000 0.369
0.500 0.500 0.000
```

Results
energy relative to the elements, uncorrected: -0.927 eV per atom

=====

[2]
Entry from Alexandria via LeMat-Bulk: a geometry-optimized Ac4PdSBr2 structure (PBE-GGA).

POSCAR file:
```
Ac4PdSBr2
1.0
7.714 0.000 0.000
0.000 4.279 0.000
-2.577 0.000 7.992
Ac Pd S Br
4 1 1 2
Direct
0.228 0.000 0.211
0.268 0.500 0.794
0.732 0.500 0.206
0.772 0.000 0.789
0.500 0.000 0.000
0.000 0.500 0.000
0.000 0.000 0.500
0.500 0.500 0.500
```

Results
energy relative to the elements, uncorrected: -1.310 eV per atom

=====

[3]
Entry from Alexandria via LeMat-Bulk: a geometry-optimized In5IrRh4 structure (PBE-GGA).

POSCAR file:
```
In5IrRh4
1.0
3.150 0.000 0.000
0.000 3.150 0.000
0.000 0.000 17.119
In Ir Rh
5 1 4
Direct
0.000 0.000 0.000
0.000 0.000 0.199
0.000 0.000 0.398
0.000 0.000 0.602
0.000 0.000 0.801
0.500 0.500 0.500
0.500 0.500 0.099
0.500 0.500 0.298
0.500 0.500 0.702
0.500 0.500 0.901
```

Results
E: -55.47 eV per cell

=====

[4]
Entry from Alexandria via LeMat-Bulk: a geometry-optimized CsBH3 structure (PBE-GGA).

POSCAR file:
```
CsBH3
1.0
3.796 0.000 0.000
0.000 3.796 0.000
0.000 0.000 3.796
Cs B H
1 1 3
Direct
0.000 0.000 0.000
0.500 0.500 0.500
0.000 0.500 0.500
0.500 0.000 0.500
0.500 0.500 0.000
```

Results
E: -13.98 eV per cell

=====

[5]
Entry from Alexandria via LeMat-Bulk: a geometry-optimized Nd6MgTe8 structure (PBE-GGA).

POSCAR file:
```
Nd6MgTe8
1.0
4.696 2.711 6.314
-4.696 2.711 6.314
0.000 -5.423 6.314
Nd Mg Te
6 1 8
Direct
0.084 0.688 0.462
0.312 0.538 0.916
0.462 0.084 0.688
0.538 0.916 0.312
0.688 0.462 0.084
0.916 0.312 0.538
0.000 0.000 0.000
0.093 0.352 0.824
0.176 0.907 0.648
0.327 0.327 0.327
0.352 0.824 0.093
0.648 0.176 0.907
0.673 0.673 0.673
0.824 0.093 0.352
0.907 0.648 0.176
```

Results
energy relative to the elements, uncorrected: -1.302 eV per atom

=====

[6]
Entry from Alexandria via LeMat-Bulk: a geometry-optimized HfNbCdO6 structure (PBE-GGA).

POSCAR file:
```
HfNbCdO6
1.0
5.456 0.000 0.000
-2.728 4.725 0.000
0.000 0.000 4.717
Hf Nb Cd O
1 1 1 6
Direct
0.000 0.000 0.000
0.333 0.667 0.000
0.667 0.333 0.500
0.031 0.342 0.227
0.031 0.689 0.773
0.311 0.342 0.773
0.311 0.969 0.227
0.658 0.689 0.227
0.658 0.969 0.773
```

Results
energy relative to the elements, uncorrected: -2.253 eV per atom

=====

[7]
Entry from Alexandria via LeMat-Bulk: a geometry-optimized Cd3Mo structure (PBE-GGA).

POSCAR file:
```
Cd3Mo
1.0
2.895 0.000 0.000
0.000 4.439 0.000
0.000 0.000 6.079
Cd Mo
3 1
Direct
0.000 0.000 0.000
0.500 0.500 0.266
0.500 0.500 0.734
0.000 0.000 0.500
```

Results
E: -11.95 eV per cell

=====

[8]
Entry from Alexandria via LeMat-Bulk: a geometry-optimized Tc4AgSb structure (PBE-GGA).

POSCAR file:
```
Tc4AgSb
1.0
0.000 3.698 3.698
3.698 0.000 3.698
3.698 3.698 0.000
Tc Ag Sb
4 1 1
Direct
0.125 0.125 0.125
0.125 0.125 0.626
0.125 0.626 0.125
0.626 0.125 0.125
0.750 0.750 0.750
0.500 0.500 0.500
```

Results
energy relative to the elements, uncorrected: 0.561 eV per atom

=====

We obtain V values of 188.3; 263.8; 169.8; 54.7; 482.4; 121.6; 78.1; 101.2 Å³ per cell for the records listed above, in that order.